a.
DFT (PBE) results for a relaxed structure of CuP3.

a = 4.8561 Å, b = 4.8561 Å, c = 4.8561 Å
α = 90.00°, β = 90.00°, γ = 90.00°
With the nearest neighbours (Å) after each atom.
Sites, in units of the cell vectors:
1 Cu 0.0000 0.0000 0.0000  12 P 2.71
2 Cu 0.5000 0.5000 0.5000  12 P 2.71
3 P 0.0000 0.2500 0.5000  2 P 2.43, 4 Cu 2.71
4 P 0.0000 0.7500 0.5000  2 P 2.43, 4 Cu 2.71
5 P 0.2500 0.5000 0.0000  2 P 2.43, 4 Cu 2.71
6 P 0.5000 0.0000 0.2500  2 P 2.43, 4 Cu 2.71
7 P 0.5000 0.0000 0.7500  2 P 2.43, 4 Cu 2.71
8 P 0.7500 0.5000 0.0000  2 P 2.43, 4 Cu 2.71

Output
* magnetization: 0.00 μB/f.u.



b.
DFT (PBE) results for a relaxed structure of CuP3.

a = 4.8484 Å, b = 4.8484 Å, c = 4.8484 Å
α = 90.00°, β = 90.00°, γ = 90.00°
With the nearest neighbours (Å) after each atom.
Sites, in units of the cell vectors:
1 Cu 0.0000 0.0000 0.0000  6 P 2.42
2 Cu 0.5000 0.5000 0.5000  6 P 2.42
3 P 0.0000 0.0000 0.5000  2 Cu 2.42, 4 P 2.42
4 P 0.0000 0.5000 0.0000  2 Cu 2.42, 4 P 2.42
5 P 0.0000 0.5000 0.5000  2 Cu 2.42, 4 P 2.42
6 P 0.5000 0.0000 0.0000  2 Cu 2.42, 4 P 2.42
7 P 0.5000 0.0000 0.5000  2 Cu 2.42, 4 P 2.42
8 P 0.5000 0.5000 0.0000  2 Cu 2.42, 4 P 2.42

Output
* magnetization: 0.00 μB/f.u.



c.
DFT (PBE) results for a relaxed structure of CuP3.

a = 10.2505 Å, b = 2.7211 Å, c = 4.6735 Å
α = 90.00°, β = 116.56°, γ = 90.00°
With the nearest neighbours (Å) after each atom.
Sites, in units of the cell vectors:
1 Cu 0.0000 0.0000 0.0000  8 P 2.68-2.70, 2 Cu 2.72
2 Cu 0.5000 0.5000 0.0000  8 P 2.68-2.70, 2 Cu 2.72
3 P 0.0000 0.5000 0.5000  6 P 2.67-2.72, 4 Cu 2.70
4 P 0.2489 0.0000 0.8000  2 P 2.30
5 P 0.2511 0.5000 0.2000  2 P 2.30
6 P 0.5000 0.0000 0.5000  6 P 2.67-2.72, 4 Cu 2.70
7 P 0.7489 0.5000 0.8000  2 P 2.30
8 P 0.7511 0.0000 0.2000  2 P 2.30

Output
* magnetization: 0.00 μB/f.u.



d.
DFT (PBE) results for a relaxed structure of CuP3.

a = 3.8520 Å, b = 3.8520 Å, c = 3.8520 Å
α = 90.00°, β = 90.00°, γ = 90.00°
With the nearest neighbours (Å) after each atom.
Sites, in units of the cell vectors:
1 Cu 0.0000 0.0000 0.0000  12 P 2.72
2 P 0.0000 0.5000 0.5000  4 Cu 2.72, 8 P 2.72
3 P 0.5000 0.0000 0.5000  4 Cu 2.72, 8 P 2.72
4 P 0.5000 0.5000 0.0000  4 Cu 2.72, 8 P 2.72

Output
* magnetization: 0.00 μB/f.u.



Energy ordering: b at the bottom, the next structure 35.9 kJ/mol of atoms above.